First-principles (PBE-GGA) data for an optimized crystal structure of NbFeC3, as listed in Alexandria via LeMat-Bulk.

a b c (Å): 3.6958 3.6958 3.6958
angles (deg): 90.00 90.00 90.00
Last column: nearest neighbours and their distance in Å.
Fractional positions:
Nb (0.0000, 0.0000, 0.0000)  12 C 2.61
Fe (0.5000, 0.5000, 0.5000)  6 C 1.85
C (0.0000, 0.5000, 0.5000)  2 Fe 1.85
C (0.5000, 0.0000, 0.5000)  2 Fe 1.85
C (0.5000, 0.5000, 0.0000)  2 Fe 1.85

Summary:
E_tot = -7.5991 eV/atom
Magnetic moment = 0.00 Bohr magnetons per cell
Relative energy among the computed polymorphs = 0.00 eV per formula unit
DFT formation energy = 1.642 eV/atom